First-principles (GGA-PBE) data for a geometry-optimized Ba2PuHfSe6 structure, as listed in Alexandria.

Cell: 7.584 10.719 7.583 Å, 90.00 90.00 90.00°
Space group Pmmn (No. 59, origin choice 2)
One atom of each set of equivalent atoms:
Ba1 0.250 0.000 0.248 (multiplicity 4)
Pu1 0.250 0.250 0.749 (multiplicity 2)
Hf1 0.250 0.750 0.751 (multiplicity 2)
Se1 0.005 0.750 0.507 (multiplicity 4)
Se2 0.006 0.750 0.996 (multiplicity 4)
Se3 0.250 0.505 0.751 (multiplicity 4)

Values from the calculation:
- density of states at the Fermi level (states/eV/cell) = 21.11
- energy relative to the elements, uncorrected (eV/atom) = -1.530
- VASP energy (eV per atom) = -6.43
- calculated density (g/cm3) = 6.3